This record from Alexandria describes a relaxed structure of FeRuN2F. The functional is PBE with a Hubbard U.

```
FeRuN2F
1.0
3.8287 0.0000 0.0000
0.0000 3.8287 0.0000
0.0000 0.0000 4.2589
Fe Ru N F
1 1 2 1
Direct
0.0000 0.0000 0.0000
0.5000 0.5000 0.5000
0.0000 0.5000 0.5000
0.5000 0.0000 0.5000
0.5000 0.5000 0.0000
```

Summary:
SG = No. 123
energy above the most stable polymorph in this dataset = 0.000 eV per atom
size of the total moment = 3.82 μB per cell